[1]
Below is a relaxed Dy8Er2Th3 crystal, with properties calculated at the PBE-GGA level.

Computed properties:
For the energy above the most stable polymorph in this dataset, the calculation gives 0.0000 eV/atom. As for the total energy: -128.929 eV per cell. The calculation puts the formation energy from the elements at 3.74 eV per formula unit.

Structure (CIF):
```
data_Dy8Er2Th3
_chemical_formula_sum 'Dy16 Er4 Th6'
_cell_length_a 14.802
_cell_length_b 9.244
_cell_length_c 6.597
_cell_angle_alpha 90.00
_cell_angle_beta 99.40
_cell_angle_gamma 90.00
_symmetry_space_group_name_H-M 'C 1 2/m 1'
_symmetry_Int_Tables_number 12
loop_
_symmetry_equiv_pos_as_xyz
'x,y,z'
'-x,-y,-z'
'-x,y,-z'
'x,-y,z'
'x+1/2,y+1/2,z'
'-x+1/2,-y+1/2,-z'
'-x+1/2,y+1/2,-z'
'x+1/2,-y+1/2,z'
loop_
_atom_site_label
_atom_site_fract_x
_atom_site_fract_y
_atom_site_fract_z
_atom_site_occupancy
Dy1 0.083 0.000 0.375 1
Dy2 0.113 0.178 0.934 1
Dy3 0.196 0.500 0.785 1
Er1 0.211 0.500 0.290 1
Th1 0.000 0.331 0.500 1
Th2 0.000 0.500 0.000 1
```

[2]
Below is a relaxed Dy7Er12Th crystal, with properties calculated at the PBE-GGA level.

Computed properties:
For the energy above the most stable polymorph in this dataset, the calculation gives 0.5196 eV/atom. As for the total energy: -158.331 eV per cell. The calculation puts the formation energy from the elements at 15.22 eV per formula unit.

Structure (CIF):
```
data_Dy7Er12Th
_chemical_formula_sum 'Dy14 Er24 Th2'
_cell_length_a 11.161
_cell_length_b 11.161
_cell_length_c 11.161
_cell_angle_alpha 90.00
_cell_angle_beta 90.00
_cell_angle_gamma 90.00
_symmetry_space_group_name_H-M 'I m -3 m'
_symmetry_Int_Tables_number 229
_symmetry_space_group_name_Hall '-I 4 2 3'
loop_
_atom_site_label
_atom_site_fract_x
_atom_site_fract_y
_atom_site_fract_z
_atom_site_occupancy
Dy1 0.000 0.000 0.500 1
Dy2 0.250 0.250 0.250 1
Er1 0.000 0.246 0.246 1
Th1 0.000 0.000 0.000 1
```

[3]
Below is a relaxed Dy3ErTm6Th2 crystal, with properties calculated at the PBE-GGA level.

Computed properties:
As for the total energy: -119.556 eV per cell. The calculation puts the formation energy from the elements at 0.26 eV per formula unit.

Structure (CIF):
```
data_Dy3ErTm6Th2
_chemical_formula_sum 'Dy6 Er2 Tm12 Th4'
_cell_length_a 6.105
_cell_length_b 10.568
_cell_length_c 11.627
_cell_angle_alpha 90.00
_cell_angle_beta 100.10
_cell_angle_gamma 90.00
_symmetry_space_group_name_H-M 'C 1 2/m 1'
_symmetry_Int_Tables_number 12
loop_
_symmetry_equiv_pos_as_xyz
'x,y,z'
'-x,-y,-z'
'-x,y,-z'
'x,-y,z'
'x+1/2,y+1/2,z'
'-x+1/2,-y+1/2,-z'
'-x+1/2,y+1/2,-z'
'x+1/2,-y+1/2,z'
loop_
_atom_site_label
_atom_site_fract_x
_atom_site_fract_y
_atom_site_fract_z
_atom_site_occupancy
Dy1 0.000 0.000 0.000 1
Dy2 0.000 0.334 0.000 1
Er1 0.000 0.500 0.500 1
Tm1 0.246 0.000 0.748 1
Tm2 0.249 0.168 0.252 1
Th1 0.000 0.167 0.500 1
```

[4]
Below is a relaxed DyEr6Tm2Th crystal, with properties calculated at the PBE-GGA level.

Computed properties:
As for the total energy: -187.612 eV per cell. The calculation puts the formation energy from the elements at 1.44 eV per formula unit.

Structure (CIF):
```
data_DyEr6Tm2Th
_chemical_formula_sum 'Dy4 Er24 Tm8 Th4'
_cell_length_a 9.020
_cell_length_b 14.730
_cell_length_c 9.542
_cell_angle_alpha 90.00
_cell_angle_beta 98.17
_cell_angle_gamma 90.00
_symmetry_space_group_name_H-M 'C 1 2/c 1'
_symmetry_Int_Tables_number 15
loop_
_symmetry_equiv_pos_as_xyz
'x,y,z'
'-x,-y,-z'
'-x,y,-z+1/2'
'x,-y,z+1/2'
'x+1/2,y+1/2,z'
'-x+1/2,-y+1/2,-z'
'-x+1/2,y+1/2,-z+1/2'
'x+1/2,-y+1/2,z+1/2'
loop_
_atom_site_label
_atom_site_fract_x
_atom_site_fract_y
_atom_site_fract_z
_atom_site_occupancy
Dy1 0.000 0.024 0.250 1
Er1 0.065 0.186 0.941 1
Er2 0.098 0.396 0.119 1
Er3 0.200 0.226 0.317 1
Tm1 0.243 0.051 0.546 1
Th1 0.000 0.405 0.750 1
```

[5]
Below is a relaxed DyEr2TmTh crystal, with properties calculated at the PBE-GGA level.

Computed properties:
As for the total energy: -47.403 eV per cell. The calculation puts the formation energy from the elements at 1.92 eV per formula unit.

Structure (CIF):
```
data_DyEr2TmTh
_chemical_formula_sum 'Dy2 Er4 Tm2 Th2'
_cell_length_a 8.220
_cell_length_b 6.020
_cell_length_c 6.904
_cell_angle_alpha 90.00
_cell_angle_beta 97.88
_cell_angle_gamma 90.00
_symmetry_space_group_name_H-M 'P 1 2/c 1'
_symmetry_Int_Tables_number 13
loop_
_symmetry_equiv_pos_as_xyz
'x,y,z'
'-x,-y,-z'
'-x,y,-z+1/2'
'x,-y,z+1/2'
loop_
_atom_site_label
_atom_site_fract_x
_atom_site_fract_y
_atom_site_fract_z
_atom_site_occupancy
Dy1 0.000 0.000 0.000 1
Er1 0.333 0.414 0.078 1
Tm1 0.500 0.088 0.750 1
Th1 0.000 0.470 0.750 1
```

[6]
Below is a relaxed Dy6Er3Tm2Th crystal, with properties calculated at the PBE-GGA level.

Computed properties:
As for the total energy: -114.726 eV per cell. The calculation puts the formation energy from the elements at 0.30 eV per formula unit.

Structure (CIF):
```
data_Dy6Er3Tm2Th
_chemical_formula_sum 'Dy12 Er6 Tm4 Th2'
_cell_length_a 6.112
_cell_length_b 10.581
_cell_length_c 11.713
_cell_angle_alpha 90.00
_cell_angle_beta 100.02
_cell_angle_gamma 90.00
_symmetry_space_group_name_H-M 'C 1 2/m 1'
_symmetry_Int_Tables_number 12
loop_
_symmetry_equiv_pos_as_xyz
'x,y,z'
'-x,-y,-z'
'-x,y,-z'
'x,-y,z'
'x+1/2,y+1/2,z'
'-x+1/2,-y+1/2,-z'
'-x+1/2,y+1/2,-z'
'x+1/2,-y+1/2,z'
loop_
_atom_site_label
_atom_site_fract_x
_atom_site_fract_y
_atom_site_fract_z
_atom_site_occupancy
Dy1 0.247 0.000 0.250 1
Dy2 0.249 0.165 0.750 1
Er1 0.000 0.167 0.000 1
Er2 0.000 0.500 0.000 1
Tm1 0.000 0.333 0.500 1
Th1 0.000 0.000 0.500 1
```

[7]
Below is a relaxed Dy6ErTm2Th3 crystal, with properties calculated at the PBE-GGA level.

Computed properties:
As for the total energy: -126.109 eV per cell. The calculation puts the formation energy from the elements at 0.32 eV per formula unit.

Structure (CIF):
```
data_Dy6ErTm2Th3
_chemical_formula_sum 'Dy12 Er2 Tm4 Th6'
_cell_length_a 6.153
_cell_length_b 10.648
_cell_length_c 11.695
_cell_angle_alpha 90.00
_cell_angle_beta 100.11
_cell_angle_gamma 90.00
_symmetry_space_group_name_H-M 'C 1 2/m 1'
_symmetry_Int_Tables_number 12
loop_
_symmetry_equiv_pos_as_xyz
'x,y,z'
'-x,-y,-z'
'-x,y,-z'
'x,-y,z'
'x+1/2,y+1/2,z'
'-x+1/2,-y+1/2,-z'
'-x+1/2,y+1/2,-z'
'x+1/2,-y+1/2,z'
loop_
_atom_site_label
_atom_site_fract_x
_atom_site_fract_y
_atom_site_fract_z
_atom_site_occupancy
Dy1 0.249 0.167 0.248 1
Dy2 0.250 0.000 0.752 1
Er1 0.000 0.500 0.500 1
Tm1 0.000 0.167 0.500 1
Th1 0.000 0.000 0.000 1
Th2 0.000 0.333 0.000 1
```

[8]
Below is a relaxed Dy5ErTm2Th crystal, with properties calculated at the PBE-GGA level.

Computed properties:
As for the total energy: -169.906 eV per cell. The calculation puts the formation energy from the elements at 1.46 eV per formula unit.

Structure (CIF):
```
data_Dy5ErTm2Th
_chemical_formula_sum 'Dy20 Er4 Tm8 Th4'
_cell_length_a 5.570
_cell_length_b 20.034
_cell_length_c 10.349
_cell_angle_alpha 90.00
_cell_angle_beta 90.00
_cell_angle_gamma 90.00
_symmetry_space_group_name_H-M 'C m c 21'
_symmetry_Int_Tables_number 36
loop_
_symmetry_equiv_pos_as_xyz
'x,y,z'
'-x,-y,z+1/2'
'-x,y,z'
'x,-y,z+1/2'
'x+1/2,y+1/2,z'
'-x+1/2,-y+1/2,z+1/2'
'-x+1/2,y+1/2,z'
'x+1/2,-y+1/2,z+1/2'
loop_
_atom_site_label
_atom_site_fract_x
_atom_site_fract_y
_atom_site_fract_z
_atom_site_occupancy
Dy1 0.000 0.015 0.000 1
Dy2 0.000 0.275 0.295 1
Dy3 0.000 0.298 0.687 1
Dy4 0.000 0.387 0.005 1
Dy5 0.000 0.479 0.720 1
Er1 0.000 0.408 0.432 1
Tm1 0.000 0.112 0.294 1
Tm2 0.000 0.113 0.715 1
Th1 0.000 0.197 0.995 1
```

[9]
Below is a relaxed DyErTm2Th2 crystal, with properties calculated at the PBE-GGA level.

Computed properties:
As for the total energy: -63.774 eV per cell. The calculation puts the formation energy from the elements at 1.06 eV per formula unit.

Structure (CIF):
```
data_DyErTm2Th2
_chemical_formula_sum 'Dy2 Er2 Tm4 Th4'
_cell_length_a 6.501
_cell_length_b 6.832
_cell_length_c 8.647
_cell_angle_alpha 90.00
_cell_angle_beta 98.64
_cell_angle_gamma 90.00
_symmetry_space_group_name_H-M 'P 1 21/m 1'
_symmetry_Int_Tables_number 11
loop_
_symmetry_equiv_pos_as_xyz
'x,y,z'
'-x,-y,-z'
'-x,y+1/2,-z'
'x,-y+1/2,z'
loop_
_atom_site_label
_atom_site_fract_x
_atom_site_fract_y
_atom_site_fract_z
_atom_site_occupancy
Dy1 0.182 0.250 0.147 1
Er1 0.485 0.250 0.494 1
Tm1 0.305 0.000 0.818 1
Th1 0.013 0.750 0.496 1
Th2 0.202 0.750 0.161 1
```

[10]
Below is a relaxed DyErTm2Th crystal, with properties calculated at the PBE-GGA level.

Computed properties:
As for the total energy: -47.278 eV per cell. The calculation puts the formation energy from the elements at 1.89 eV per formula unit.

Structure (CIF):
```
data_DyErTm2Th
_chemical_formula_sum 'Dy2 Er2 Tm4 Th2'
_cell_length_a 8.191
_cell_length_b 6.027
_cell_length_c 6.896
_cell_angle_alpha 90.00
_cell_angle_beta 97.99
_cell_angle_gamma 90.00
_symmetry_space_group_name_H-M 'P 1 2/c 1'
_symmetry_Int_Tables_number 13
loop_
_symmetry_equiv_pos_as_xyz
'x,y,z'
'-x,-y,-z'
'-x,y,-z+1/2'
'x,-y,z+1/2'
loop_
_atom_site_label
_atom_site_fract_x
_atom_site_fract_y
_atom_site_fract_z
_atom_site_occupancy
Dy1 0.000 0.000 0.000 1
Er1 0.500 0.090 0.250 1
Tm1 0.333 0.412 0.580 1
Th1 0.000 0.469 0.250 1
```

[11]
Below is a relaxed DyErTm5Th2 crystal, with properties calculated at the PBE-GGA level.

Computed properties:
As for the total energy: -172.691 eV per cell. The calculation puts the formation energy from the elements at 3.19 eV per formula unit.

Structure (CIF):
```
data_DyErTm5Th2
_chemical_formula_sum 'Dy4 Er4 Tm20 Th8'
_cell_length_a 8.692
_cell_length_b 8.692
_cell_length_c 15.270
_cell_angle_alpha 90.00
_cell_angle_beta 90.00
_cell_angle_gamma 90.00
_symmetry_space_group_name_H-M 'I 4/m c m'
_symmetry_Int_Tables_number 140
_symmetry_space_group_name_Hall '-I 4 2c'
loop_
_atom_site_label
_atom_site_fract_x
_atom_site_fract_y
_atom_site_fract_z
_atom_site_occupancy
Dy1 0.000 0.000 0.250 1
Er1 0.000 0.500 0.250 1
Tm1 0.000 0.000 0.000 1
Tm2 0.211 0.289 0.140 1
Th1 0.119 0.381 0.500 1
```

[12]
Below is a relaxed DyEr6Tm3Th2 crystal, with properties calculated at the PBE-GGA level.

Computed properties:
As for the total energy: -119.810 eV per cell. The calculation puts the formation energy from the elements at 0.33 eV per formula unit.

Structure (CIF):
```
data_DyEr6Tm3Th2
_chemical_formula_sum 'Dy2 Er12 Tm6 Th4'
_cell_length_a 6.108
_cell_length_b 10.567
_cell_length_c 11.643
_cell_angle_alpha 90.00
_cell_angle_beta 100.07
_cell_angle_gamma 90.00
_symmetry_space_group_name_H-M 'C 1 2/m 1'
_symmetry_Int_Tables_number 12
loop_
_symmetry_equiv_pos_as_xyz
'x,y,z'
'-x,-y,-z'
'-x,y,-z'
'x,-y,z'
'x+1/2,y+1/2,z'
'-x+1/2,-y+1/2,-z'
'-x+1/2,y+1/2,-z'
'x+1/2,-y+1/2,z'
loop_
_atom_site_label
_atom_site_fract_x
_atom_site_fract_y
_atom_site_fract_z
_atom_site_occupancy
Dy1 0.000 0.000 0.000 1
Er1 0.247 0.500 0.250 1
Er2 0.248 0.332 0.750 1
Tm1 0.000 0.166 0.500 1
Tm2 0.000 0.500 0.500 1
Th1 0.000 0.333 0.000 1
```